An optimized crystal structure of LuZnIn2. Source: Alexandria, functional PBE-GGA.

Unit cell a=4.4482 b=4.4482 c=4.4541 alpha=90.00 beta=90.00 gamma=90.00
Space group P4/mmm (No. 123)
Asymmetric unit:
Lu  0.0000  0.0000  0.0000 (multiplicity 1)
Zn  0.5000  0.5000  0.0000 (multiplicity 1)
In  0.0000  0.5000  0.5000 (multiplicity 2)

Total moment   0.00 μB per formula unit
Raw total energy   -3.1170 eV/atom
Energy of formation   -0.30 eV/atom

---

An optimized crystal structure of LuZn4In. Source: Alexandria, functional PBE-GGA.

Unit cell a=7.6460 b=7.6460 c=7.6460 alpha=90.00 beta=90.00 gamma=90.00
Space group F-43m (No. 216)
Asymmetric unit:
Lu  0.0000  0.0000  0.0000 (multiplicity 4)
Zn  0.1258  0.1258  0.3742 (multiplicity 16)
In  0.2500  0.2500  0.7500 (multiplicity 4)

Total moment   0.00 μB per formula unit
Raw total energy   -2.1912 eV/atom
Energy of formation   -0.13 eV/atom

---

An optimized crystal structure of LuZnIn. Source: Alexandria, functional PBE-GGA.

Unit cell a=4.6383 b=4.6383 c=3.5180 alpha=90.00 beta=90.00 gamma=120.00
Space group P3m1 (No. 156)
Asymmetric unit:
Lu  0.0000  0.0000  0.0000 (multiplicity 1)
Zn  0.3333  0.6667  0.5017 (multiplicity 1)
In  0.6667  0.3333  0.4994 (multiplicity 1)

Total moment   0.00 μB per formula unit
Raw total energy   -3.2047 eV/atom
Energy of formation   -0.36 eV/atom

---

An optimized crystal structure of LuZnIn2. Source: Alexandria, functional PBE-GGA.

Unit cell a=4.5622 b=4.5622 c=15.6261 alpha=90.00 beta=90.00 gamma=120.00
Space group R-3m (No. 166, hexagonal axes)
Asymmetric unit:
Lu  0.0000  0.0000  0.0000 (multiplicity 3)
Zn  0.0000  0.0000  0.5000 (multiplicity 3)
In  0.0000  0.0000  0.2281 (multiplicity 6)

Total moment   0.00 μB per formula unit
Raw total energy   -2.9469 eV/atom
Energy of formation   -0.13 eV/atom

---

An optimized crystal structure of LuZnIn. Source: Alexandria, functional PBE-GGA.

Unit cell a=3.4248 b=3.4248 c=11.4044 alpha=90.00 beta=90.00 gamma=90.00
Space group I4mm (No. 107)
Asymmetric unit:
Lu  0.0000  0.0000  0.0000 (multiplicity 2)
Zn  0.0000  0.0000  0.6580 (multiplicity 2)
In  0.0000  0.0000  0.3059 (multiplicity 2)

Total moment   0.13 μB per formula unit
Raw total energy   -3.0637 eV/atom
Energy of formation   -0.22 eV/atom

---

An optimized crystal structure of Lu2ZrIn. Source: Alexandria, functional PBE-GGA.

Unit cell a=4.6429 b=4.6429 c=4.6245 alpha=90.00 beta=90.00 gamma=90.00
Space group P4/mmm (No. 123)
Asymmetric unit:
Lu  0.0000  0.5000  0.0000 (multiplicity 2)
Zr  0.0000  0.0000  0.5000 (multiplicity 1)
In  0.5000  0.5000  0.5000 (multiplicity 1)

Energy above the lowest structure with this stoichiometry   0.0199 eV per atom
Total moment   0.00 μB per formula unit
Raw total energy   -5.2823 eV/atom
Energy of formation   -0.20 eV/atom

---

An optimized crystal structure of Lu2ZrIn. Source: Alexandria, functional PBE-GGA.

Unit cell a=3.4307 b=3.4307 c=8.7378 alpha=90.00 beta=90.00 gamma=90.00
Space group P4/mmm (No. 123)
Asymmetric unit:
Lu  0.0000  0.0000  0.2458 (multiplicity 2)
Zr  0.5000  0.5000  0.5000 (multiplicity 1)
In  0.5000  0.5000  0.0000 (multiplicity 1)

Energy above the lowest structure with this stoichiometry   0.0000 eV per atom
Total moment   0.00 μB per formula unit
Raw total energy   -5.3022 eV/atom
Energy of formation   -0.22 eV/atom

---

An optimized crystal structure of MgIn. Source: Alexandria, functional PBE-GGA.

Unit cell a=3.3543 b=3.3543 c=14.7418 alpha=90.00 beta=90.00 gamma=120.00
Space group R-3m (No. 166, hexagonal axes)
Asymmetric unit:
Mg  0.0000  0.0000  0.0000 (multiplicity 3)
In  0.0000  0.0000  0.5000 (multiplicity 3)

Total moment   0.00 μB per formula unit
Raw total energy   -2.2375 eV/atom
Energy of formation   -0.07 eV/atom

---

An optimized crystal structure of MgIn5. Source: Alexandria, functional PBE-GGA.

Unit cell a=3.3298 b=3.3298 c=14.0521 alpha=90.00 beta=90.00 gamma=90.00
Space group P4/mmm (No. 123)
Asymmetric unit:
Mg  0.0000  0.0000  0.0000 (multiplicity 1)
In  0.0000  0.0000  0.3256 (multiplicity 2)
In  0.5000  0.5000  0.1528 (multiplicity 2)
In  0.5000  0.5000  0.5000 (multiplicity 1)

Total moment   0.00 μB per formula unit
Raw total energy   -2.5614 eV/atom
Energy of formation   -0.01 eV/atom

---

An optimized crystal structure of MgIn. Source: Alexandria, functional PBE-GGA.

Unit cell a=11.0866 b=11.0866 c=3.2457 alpha=90.00 beta=90.00 gamma=90.00
Space group I4/m (No. 87)
Asymmetric unit:
Mg  0.0461  0.3359  0.0000 (multiplicity 8)
In  0.1293  0.8306  0.5000 (multiplicity 8)

Total moment   0.00 μB per formula unit
Raw total energy   -2.1886 eV/atom
Energy of formation   -0.02 eV/atom

---

An optimized crystal structure of MgIn. Source: Alexandria, functional PBE-GGA.

Unit cell a=3.2454 b=3.2454 c=4.4161 alpha=90.00 beta=90.00 gamma=90.00
Space group P4/mmm (No. 123)
Asymmetric unit:
Mg  0.0000  0.0000  0.0000 (multiplicity 1)
In  0.5000  0.5000  0.5000 (multiplicity 1)

Total moment   0.00 μB per formula unit
Raw total energy   -2.2599 eV/atom
Energy of formation   -0.09 eV/atom

---

An optimized crystal structure of MgIn. Source: Alexandria, functional PBE-GGA.

Unit cell a=5.6658 b=6.2565 c=10.8776 alpha=90.00 beta=90.00 gamma=90.00
Space group P2_12_12_1 (No. 19)
Asymmetric unit:
Mg  0.0047  0.1288  0.2452 (multiplicity 4)
Mg  0.1691  0.3811  0.5026 (multiplicity 4)
In  0.0136  0.6248  0.7566 (multiplicity 4)
In  0.1697  0.8846  0.4893 (multiplicity 4)

Total moment   0.00 μB per formula unit
Raw total energy   -2.2204 eV/atom
Energy of formation   -0.05 eV/atom

---

An optimized crystal structure of MgIn8. Source: Alexandria, functional PBE-GGA.

Unit cell a=9.9381 b=9.9381 c=4.7692 alpha=90.00 beta=90.00 gamma=90.00
Space group I4/mmm (No. 139)
Asymmetric unit:
Mg  0.0000  0.0000  0.0000 (multiplicity 2)
In  0.0000  0.3303  0.0000 (multiplicity 8)
In  0.1649  0.1649  0.5000 (multiplicity 8)

Energy above the lowest structure with this stoichiometry   0.0000 eV per atom
Total moment   0.00 μB per formula unit
Raw total energy   -2.6162 eV/atom
Energy of formation   0.00 eV/atom

---

An optimized crystal structure of Mg3In4. Source: Alexandria, functional PBE-GGA.

Unit cell a=8.9327 b=8.9327 c=8.9327 alpha=90.00 beta=90.00 gamma=90.00
Space group I-43d (No. 220)
Asymmetric unit:
Mg  0.0000  0.2500  0.8750 (multiplicity 12)
In  0.0827  0.4173  0.5827 (multiplicity 16)

Energy above the lowest structure with this stoichiometry   0.0333 eV per atom
Total moment   0.00 μB per formula unit
Raw total energy   -2.2440 eV/atom
Energy of formation   0.00 eV/atom

---

An optimized crystal structure of Mg5In3. Source: Alexandria, functional PBE-GGA.

Unit cell a=6.3908 b=8.8533 c=13.0680 alpha=90.00 beta=90.00 gamma=90.00
Space group Fmmm (No. 69)
Asymmetric unit:
Mg  0.0000  0.0000  0.0000 (multiplicity 4)
Mg  0.2500  0.2500  0.1258 (multiplicity 16)
In  0.0000  0.0000  0.2422 (multiplicity 8)
In  0.0000  0.0000  0.5000 (multiplicity 4)

Energy above the lowest structure with this stoichiometry   0.0000 eV per atom
Total moment   0.00 μB per formula unit
Raw total energy   -2.1110 eV/atom
Energy of formation   -0.09 eV/atom

---

An optimized crystal structure of Mg7In3. Source: Alexandria, functional PBE-GGA.

Unit cell a=16.3314 b=4.5237 c=6.3297 alpha=90.00 beta=101.53 gamma=90.00
Space group C2/m (No. 12)
Asymmetric unit:
Mg  0.0000  0.0000  0.0000 (multiplicity 2)
Mg  0.0967  0.5000  0.3059 (multiplicity 4)
Mg  0.1023  0.5000  0.8102 (multiplicity 4)
Mg  0.2010  0.0000  0.6083 (multiplicity 4)
In  0.0000  0.0000  0.5000 (multiplicity 2)
In  0.1973  0.0000  0.1146 (multiplicity 4)

Total moment   0.00 μB per formula unit
Raw total energy   -2.0217 eV/atom
Energy of formation   -0.08 eV/atom

---

An optimized crystal structure of Mg3In. Source: Alexandria, functional PBE-GGA.

Unit cell a=7.7152 b=8.6432 c=5.8842 alpha=90.00 beta=90.00 gamma=90.00
Space group Pnma (No. 62)
Asymmetric unit:
Mg  0.0107  0.2500  0.0636 (multiplicity 4)
Mg  0.1886  0.0488  0.6589 (multiplicity 8)
In  0.1053  0.7500  0.4608 (multiplicity 4)

Total moment   0.00 μB per formula unit
Raw total energy   -1.8927 eV/atom
Energy of formation   -0.01 eV/atom

---

An optimized crystal structure of Mg5In3. Source: Alexandria, functional PBE-GGA.

Unit cell a=8.8155 b=9.2895 c=4.5059 alpha=90.00 beta=90.00 gamma=90.00
Space group Cmmm (No. 65)
Asymmetric unit:
Mg  0.0000  0.0000  0.0000 (multiplicity 2)
Mg  0.2393  0.5000  0.5000 (multiplicity 4)
Mg  0.2500  0.2500  0.0000 (multiplicity 4)
In  0.0000  0.2324  0.5000 (multiplicity 4)
In  0.0000  0.5000  0.0000 (multiplicity 2)

Energy above the lowest structure with this stoichiometry   0.0036 eV per atom
Total moment   0.00 μB per formula unit
Raw total energy   -2.1074 eV/atom
Energy of formation   -0.08 eV/atom

---

An optimized crystal structure of MgIn5. Source: Alexandria, functional PBE-GGA.

Unit cell a=4.6843 b=13.8867 c=4.7521 alpha=90.00 beta=90.00 gamma=90.00
Space group Cmmm (No. 65)
Asymmetric unit:
Mg  0.0000  0.0000  0.0000 (multiplicity 2)
In  0.0000  0.1651  0.5000 (multiplicity 4)
In  0.0000  0.3372  0.0000 (multiplicity 4)
In  0.0000  0.5000  0.5000 (multiplicity 2)

Total moment   0.00 μB per formula unit
Raw total energy   -2.5655 eV/atom
Energy of formation   -0.02 eV/atom

---

An optimized crystal structure of Mg5In6. Source: Alexandria, functional PBE-GGA.

Unit cell a=5.4800 b=6.4438 c=8.2832 alpha=111.97 beta=90.09 gamma=90.56
Space group P-1 (No. 2)
Asymmetric unit:
Mg  0.0000  0.0000  0.0000 (multiplicity 1)
Mg  0.3199  0.3357  0.6735 (multiplicity 2)
Mg  0.3343  0.8320  0.6665 (multiplicity 2)
In  0.1658  0.4187  0.3280 (multiplicity 2)
In  0.1679  0.9138  0.3309 (multiplicity 2)
In  0.4979  0.7441  0.9996 (multiplicity 2)

Energy above the lowest structure with this stoichiometry   0.0000 eV per atom
Total moment   0.00 μB per formula unit
Raw total energy   -2.2666 eV/atom
Energy of formation   -0.05 eV/atom

---

An optimized crystal structure of Mg3In. Source: Alexandria, functional PBE-GGA.

Unit cell a=3.3253 b=5.0999 c=5.4386 alpha=90.00 beta=90.00 gamma=90.00
Space group Pmm2 (No. 25)
Asymmetric unit:
Mg  0.0000  0.0000  0.0000 (multiplicity 1)
Mg  0.0000  0.5000  0.3397 (multiplicity 1)
Mg  0.5000  0.5000  0.8451 (multiplicity 1)
In  0.5000  0.0000  0.5026 (multiplicity 1)

Total moment   0.00 μB per formula unit
Raw total energy   -1.9352 eV/atom
Energy of formation   -0.05 eV/atom

---

An optimized crystal structure of MgIn5. Source: Alexandria, functional PBE-GGA.

Unit cell a=8.7570 b=8.7570 c=8.7570 alpha=90.00 beta=90.00 gamma=90.00
Space group F-43m (No. 216)
Asymmetric unit:
Mg  0.0000  0.0000  0.0000 (multiplicity 4)
In  0.1251  0.1251  0.6251 (multiplicity 16)
In  0.2500  0.2500  0.2500 (multiplicity 4)

Total moment   0.00 μB per formula unit
Raw total energy   -2.4352 eV/atom
Energy of formation   0.11 eV/atom

---

An optimized crystal structure of MgIn. Source: Alexandria, functional PBE-GGA.

Unit cell a=4.9752 b=4.9752 c=14.7242 alpha=90.00 beta=90.00 gamma=120.00
Space group R-3m (No. 166, hexagonal axes)
Asymmetric unit:
Mg  0.0000  0.0000  0.1056 (multiplicity 6)
In  0.0000  0.0000  0.3044 (multiplicity 6)

Total moment   0.00 μB per formula unit
Raw total energy   -2.1484 eV/atom
Energy of formation   0.02 eV/atom

---

An optimized crystal structure of Mg7In4. Source: Alexandria, functional PBE-GGA.

Unit cell a=9.5744 b=9.5744 c=3.3313 alpha=90.00 beta=90.00 gamma=120.00
Space group P-6m2 (No. 187)
Asymmetric unit:
Mg  0.0000  0.0000  0.0000 (multiplicity 1)
Mg  0.1833  0.3667  0.5000 (multiplicity 3)
Mg  0.5220  0.0439  0.0000 (multiplicity 3)
In  0.3333  0.6667  0.0000 (multiplicity 1)
In  0.3383  0.1691  0.5000 (multiplicity 3)

Total moment   0.00 μB per formula unit
Raw total energy   -2.0736 eV/atom
Energy of formation   -0.06 eV/atom

---

An optimized crystal structure of Mg4In3. Source: Alexandria, functional PBE-GGA.

Unit cell a=3.9268 b=3.9268 c=21.7764 alpha=90.00 beta=90.00 gamma=90.00
Space group I4/mmm (No. 139)
Asymmetric unit:
Mg  0.0000  0.0000  0.0710 (multiplicity 4)
Mg  0.0000  0.0000  0.3558 (multiplicity 4)
In  0.0000  0.0000  0.2114 (multiplicity 4)
In  0.0000  0.0000  0.5000 (multiplicity 2)

Energy above the lowest structure with this stoichiometry   0.0450 eV per atom
Total moment   0.00 μB per formula unit
Raw total energy   -2.1245 eV/atom
Energy of formation   -0.04 eV/atom